(1)
Computed, not measured: a relaxed structure of CaSmBi at the PBE level of DFT.

Unit cell a=4.4457 b=13.9471 c=6.5829 alpha=90.00 beta=90.00 gamma=90.00
Closest atoms and distances in Å follow each position.
Space group Cmcm (No. 63)
Inequivalent atoms, fractional coordinates:
Ca 0.0000 0.2011 0.2500 x4  4 Bi 3.24-3.44
Sm 0.0000 0.5000 0.0000 x4  2 Sm 3.29, 4 Bi 3.30
Bi 0.0000 0.1294 0.7500 x4  4 Ca 3.24-3.44, 4 Sm 3.30

Output
density of states at the Fermi level: 2.85 states/eV/f.u.
E_tot: -4.14 eV/atom

(2)
Computed, not measured: a relaxed structure of CaSm3Bi4 at the PBE level of DFT.

Unit cell a=6.4634 b=6.4634 c=6.4634 alpha=90.00 beta=90.00 gamma=90.00
Closest atoms and distances in Å follow each position.
Space group Pm-3m (No. 221)
Inequivalent atoms, fractional coordinates:
Ca 0.0000 0.0000 0.0000 x1  6 Bi 3.23
Sm 0.0000 0.5000 0.5000 x3  6 Bi 3.23
Bi 0.0000 0.0000 0.5000 x3  2 Ca 3.23, 4 Sm 3.23
Bi 0.5000 0.5000 0.5000 x1  6 Sm 3.23

Output
density of states at the Fermi level: 4.55 states/eV/f.u.
E_tot: -4.80 eV/atom

(3)
Computed, not measured: a relaxed structure of CaSm4Bi5 at the PBE level of DFT.

Unit cell a=4.5575 b=6.4668 c=22.9415 alpha=90.00 beta=90.00 gamma=90.00
Closest atoms and distances in Å follow each position.
Space group Immm (No. 71)
Inequivalent atoms, fractional coordinates:
Ca 0.0000 0.0000 0.0000 x2  6 Bi 3.23-3.27
Sm 0.0000 0.0000 0.1998 x4  6 Bi 3.19-3.24
Sm 0.0000 0.0000 0.4011 x4  6 Bi 3.22-3.24
Bi 0.0000 0.5000 0.0000 x2  4 Sm 3.22, 2 Ca 3.23
Bi 0.0000 0.5000 0.1995 x4  6 Sm 3.23-3.24
Bi 0.0000 0.5000 0.3975 x4  4 Sm 3.19-3.23, 2 Ca 3.27

Output
density of states at the Fermi level: 4.19 states/eV/f.u.
E_tot: -4.89 eV/atom

(4)
Computed, not measured: a relaxed structure of CaSmBi at the PBE level of DFT.

Unit cell a=4.1912 b=4.1912 c=10.9333 alpha=90.00 beta=90.00 gamma=90.00
Closest atoms and distances in Å follow each position.
Space group I4mm (No. 107)
Inequivalent atoms, fractional coordinates:
Ca 0.0000 0.0000 0.0000 x2  5 Sm 3.35-3.64, 5 Bi 3.43-3.73
Sm 0.0000 0.0000 0.3061 x2  5 Ca 3.35-3.64, 4 Bi 3.37
Bi 0.0000 0.0000 0.6587 x2  4 Sm 3.37, 5 Ca 3.43-3.73

Output
density of states at the Fermi level: 1.88 states/eV/f.u.
E_tot: -3.98 eV/atom